Record 1
The following is a DFT calculation (PBEsol) of a relaxed structure of ZnSi2Br.

Properties
V ... 19.99 Å³ per atom
Total energy ... -3.319 eV/atom
Crystal system ... tetragonal
M_tot ... 0.0 μB/cell

Cell lengths 3.560, 3.560, 6.309 Å; angles 90.00, 90.00, 90.00 degrees
Fractional positions:
1 Si 0.000 0.500 0.000
2 Si 0.500 0.000 0.000
3 Zn 0.500 0.500 0.500
4 Br 0.000 0.000 0.500

Record 2
The following is a DFT calculation (PBEsol) of a relaxed structure of Li6Ni3P6WO24.

Properties
V ... 11.33 Å³ per atom
Total energy ... -7.107 eV/atom
Crystal system ... triclinic
M_tot ... 5.9 μB/cell

Cell lengths 8.915, 8.873, 8.971 Å; angles 55.79, 55.68, 56.01 degrees
Last column: magnetic moment on the atom in μB.
Fractional positions:
1 O 0.193 0.547 0.158  0.05
2 O 0.881 0.241 0.122  0.05
3 O 0.108 0.753 0.862  0.01
4 O 0.756 0.469 0.855  0.05
5 O 0.822 0.606 0.985  0.00
6 O 0.257 0.137 0.881  0.05
7 O 0.449 0.865 0.760  0.05
8 O 0.747 0.864 0.105  0.01
9 O 0.848 0.787 0.454  0.05
10 O 0.618 0.971 0.817  0.00
11 O 0.541 0.492 0.196  0.04
12 O 0.182 0.539 0.492  0.05
13 O 0.561 0.149 0.207  0.04
14 O 0.451 0.513 0.825  0.05
15 O 0.864 0.107 0.743  0.01
16 O 0.990 0.812 0.613  0.00
17 O 0.172 0.401 0.996  0.06
18 O 0.131 0.889 0.251  0.05
19 O 0.516 0.818 0.448  0.04
20 O 0.970 0.196 0.390  0.06
21 O 0.391 0.020 0.173  0.05
22 O 0.827 0.455 0.518  0.04
23 O 0.504 0.190 0.538  0.04
24 O 0.165 0.191 0.523  0.05
25 W 0.854 0.848 0.852  0.02
26 P 0.965 0.247 0.527  0.01
27 P 0.242 0.536 0.968  0.01
28 P 0.044 0.750 0.446  0.01
29 P 0.448 0.044 0.748  0.01
30 P 0.745 0.448 0.042  0.01
31 P 0.536 0.969 0.243  0.01
32 Ni 0.645 0.655 0.650  1.60
33 Ni 0.340 0.355 0.342  1.58
34 Ni 0.142 0.153 0.147  1.59
35 Li 0.448 0.467 0.461  0.00
36 Li 0.721 0.085 0.344  0.00
37 Li 0.910 0.653 0.292  0.00
38 Li 0.655 0.291 0.908  0.00
39 Li 0.289 0.913 0.644  0.00
40 Li 0.072 0.025 0.022  0.00

Record 3
The following is a DFT calculation (PBEsol) of a relaxed structure of Mo2PbCl.

Properties
V ... 17.95 Å³ per atom
Total energy ... -6.567 eV/atom
Crystal system ... orthorhombic
M_tot ... 0.0 μB/cell

Cell lengths 2.913, 4.805, 5.130 Å; angles 90.00, 90.00, 90.00 degrees
Fractional positions:
1 Cl 0.000 0.500 0.500
2 Pb 0.500 0.500 0.000
3 Mo 0.500 0.000 0.500
4 Mo 0.000 0.000 0.000

Record 4
The following is a DFT calculation (PBEsol) of a relaxed structure of YCo3As.

Properties
V ... 18.31 Å³ per atom
Total energy ... -5.267 eV/atom
Crystal system ... cubic
Energy of formation ... 40.62 kcal/mol of atoms
M_tot ... 2.8 μB/cell

Cell lengths 4.507, 4.507, 4.507 Å; angles 90.00, 90.00, 90.00 degrees
Last column: magnetic moment on the atom in μB.
Fractional positions:
1 Co 0.000 0.000 0.500  0.98
2 Co 0.000 0.500 0.000  0.98
3 Co 0.500 0.000 0.000  0.98
4 Y 0.000 0.000 0.000  -0.19
5 As 0.500 0.500 0.500  0.04

Record 5
The following is a DFT calculation (PBEsol) of a relaxed structure of OsRhPb2.

Properties
V ... 18.80 Å³ per atom
Total energy ... -6.384 eV/atom
Crystal system ... orthorhombic
Energy of formation ... 16.23 kcal/mol of atoms
M_tot ... 0.0 μB/cell

Cell lengths 3.257, 4.435, 5.888 Å; angles 112.12, 106.05, 90.00 degrees
Fractional positions:
1 Pb 0.758 0.258 0.516
2 Pb 0.988 0.988 0.975
3 Rh 0.496 0.496 0.992
4 Os 0.258 0.758 0.516

Record 6
The following is a DFT calculation (PBEsol) of a relaxed structure of MnZnCu2.

Properties
V ... 12.21 Å³ per atom
Total energy ... -4.923 eV/atom
Crystal system ... tetragonal
Energy of formation ... 1.84 kcal/mol of atoms
M_tot ... 3.4 μB/cell

Cell lengths 3.741, 3.741, 4.379 Å; angles 115.29, 115.29, 90.00 degrees
Last column: magnetic moment on the atom in μB.
Fractional positions:
1 Cu 0.250 0.750 0.500  0.09
2 Cu 0.000 0.000 0.000  0.04
3 Zn 0.750 0.250 0.500  -0.03
4 Mn 0.500 0.500 0.000  3.27

Record 7
The following is a DFT calculation (PBEsol) of a relaxed structure of InCoAg2.

Properties
V ... 15.75 Å³ per atom
Total energy ... -4.153 eV/atom
Crystal system ... tetragonal
Energy of formation ... 4.20 kcal/mol of atoms
M_tot ... 0.0 μB/cell

Cell lengths 2.982, 2.982, 7.082 Å; angles 90.00, 90.00, 90.00 degrees
Fractional positions:
1 Co 0.000 0.000 0.500
2 In 0.500 0.500 0.717
3 Ag 0.000 0.000 0.009
4 Ag 0.500 0.500 0.273

Record 8
The following is a DFT calculation (PBEsol) of a relaxed structure of MgCu2Ru.

Properties
V ... 13.16 Å³ per atom
Total energy ... -4.968 eV/atom
Crystal system ... orthorhombic
Energy of formation ... 3.96 kcal/mol of atoms
M_tot ... 0.0 μB/cell

Cell lengths 2.786, 4.354, 5.051 Å; angles 115.53, 106.01, 90.00 degrees
Fractional positions:
1 Cu 0.738 0.238 0.475
2 Cu 0.010 0.010 0.020
3 Ru 0.262 0.762 0.523
4 Mg 0.491 0.491 0.981

Which of these has the lowest V? Li6Ni3P6WO24

Which formula does entry 5 have? OsRhPb2